1.
The following is a PBE-GGA calculation of crystalline SmScGa2Pt2 at its relaxed geometry, from the Alexandria database.

V = 19.29 Å³/atom
Density of states at the Fermi level = 2.83 states/eV per cell
Energy relative to the elements = -1066 meV/atom

CIF file:
```
data_SmScGa2Pt2
_space_group_name_H-M_alt 'P 1'
_space_group_IT_number 1
_cell_length_a 4.447
_cell_length_b 4.447
_cell_length_c 6.760
_cell_angle_alpha 90.00
_cell_angle_beta 90.00
_cell_angle_gamma 120.00
loop_
_space_group_symop_operation_xyz
'x,y,z'
loop_
_atom_site_label
_atom_site_type_symbol
_atom_site_fract_x
_atom_site_fract_y
_atom_site_fract_z
Sm1 Sm 0.000 0.000 0.000
Sc1 Sc 0.000 0.000 0.500
Ga1 Ga 0.333 0.667 0.290
Ga2 Ga 0.667 0.333 0.710
Pt1 Pt 0.333 0.667 0.715
Pt2 Pt 0.667 0.333 0.285
```



2.
The following is a PBE-GGA calculation of crystalline SmScGa5Pt2 at its relaxed geometry, from the Alexandria database.

V = 22.49 Å³/atom
Density of states at the Fermi level = 4.73 states/eV per cell
Energy relative to the elements = -346 meV/atom

CIF file:
```
data_SmScGa5Pt2
_space_group_name_H-M_alt 'P 1'
_space_group_IT_number 1
_cell_length_a 4.573
_cell_length_b 4.573
_cell_length_c 9.680
_cell_angle_alpha 90.00
_cell_angle_beta 90.00
_cell_angle_gamma 90.00
loop_
_space_group_symop_operation_xyz
'x,y,z'
loop_
_atom_site_label
_atom_site_type_symbol
_atom_site_fract_x
_atom_site_fract_y
_atom_site_fract_z
Sm1 Sm 0.000 0.000 0.000
Sc1 Sc 0.000 0.000 0.500
Ga1 Ga 0.000 0.500 0.329
Ga2 Ga 0.000 0.500 0.671
Ga3 Ga 0.500 0.000 0.329
Ga4 Ga 0.500 0.000 0.671
Ga5 Ga 0.500 0.500 0.000
Pt1 Pt 0.500 0.500 0.238
Pt2 Pt 0.500 0.500 0.762
```